BaCaMg | SCAN | single point on PBEsol structure

abc: 4.1398 4.1398 13.9216
angles: 90.00 90.00 90.00
With the nearest neighbours (Å) after each atom.
Element x y z (fractional)
1 Ba 0.0000 0.0000 0.0000  4 Mg 3.71, 1 Ca 4.00, 4 Ba 4.14
2 Ba 0.5000 0.5000 0.5000  4 Mg 3.71, 1 Ca 4.00, 4 Ba 4.14
3 Ca 0.0000 0.0000 0.7125  4 Mg 3.39
4 Ca 0.5000 0.5000 0.2125  4 Mg 3.39
5 Mg 0.0000 0.0000 0.3359  4 Ca 3.39, 4 Ba 3.71
6 Mg 0.5000 0.5000 0.8359  4 Ca 3.39, 4 Ba 3.71

Summary:
**Calculated density**: 2.808 Mg/m³
**ΔH_f (0 K)**: -0.020 eV/atom
**Symmetry**: No. 107



Ti2InCo2 | SCAN | single point on PBEsol structure

abc: 3.5480 3.5480 12.5549
angles: 90.00 90.00 90.00
With the nearest neighbours (Å) after each atom.
Element x y z (fractional)
1 Ti 0.0000 0.0000 0.1286  4 Co 2.34
2 Ti 0.0000 0.0000 0.8714  4 Co 2.34
3 Ti 0.5000 0.5000 0.3714  4 Co 2.34
4 Ti 0.5000 0.5000 0.6286  4 Co 2.34
5 In 0.0000 0.0000 0.5000  8 Ti 2.98
6 In 0.5000 0.5000 0.0000  8 Ti 2.98
7 Co 0.0000 0.5000 0.2500  4 Ti 2.34, 4 Co 2.51
8 Co 0.0000 0.5000 0.7500  4 Ti 2.34, 4 Co 2.51
9 Co 0.5000 0.0000 0.2500  4 Ti 2.34, 4 Co 2.51
10 Co 0.5000 0.0000 0.7500  4 Ti 2.34, 4 Co 2.51

Summary:
**Calculated density**: 6.901 Mg/m³
**ΔH_f (0 K)**: 0.098 eV/atom
**Symmetry**: No. 139



CsZnRuAu2 | SCAN | single point on PBEsol structure

abc: 5.6264 5.6264 5.0348
angles: 90.00 90.00 90.00
With the nearest neighbours (Å) after each atom.
Element x y z (fractional)
1 Cs 0.0000 0.0000 0.0000  2 Ru 2.52, 4 Au 2.81
2 Zn 0.5000 0.5000 0.5000  8 Au 3.78, 4 Ru 3.98
3 Ru 0.0000 0.0000 0.5000  2 Cs 2.52
4 Au 0.0000 0.5000 0.0000  2 Cs 2.81
5 Au 0.5000 0.0000 0.0000  2 Cs 2.81

Summary:
**Calculated density**: 7.223 Mg/m³
**ΔH_f (0 K)**: 2.088 eV/atom
**Symmetry**: No. 123



BeNi2Br | SCAN | single point on PBEsol structure

abc: 5.7561 5.7561 5.7561
angles: 90.00 90.00 90.00
With the nearest neighbours (Å) after each atom.
Element x y z (fractional)
1 Be 0.0000 0.0000 0.0000  8 Ni 2.49
2 Be 0.0000 0.5000 0.5000  8 Ni 2.49
3 Be 0.5000 0.0000 0.5000  8 Ni 2.49
4 Be 0.5000 0.5000 0.0000  8 Ni 2.49
5 Ni 0.2500 0.2500 0.2500  4 Br 2.49, 4 Be 2.49
6 Ni 0.2500 0.2500 0.7500  4 Br 2.49, 4 Be 2.49
7 Ni 0.2500 0.7500 0.2500  4 Br 2.49, 4 Be 2.49
8 Ni 0.2500 0.7500 0.7500  4 Be 2.49, 4 Br 2.49
9 Ni 0.7500 0.2500 0.2500  4 Br 2.49, 4 Be 2.49
10 Ni 0.7500 0.2500 0.7500  4 Be 2.49, 4 Br 2.49
11 Ni 0.7500 0.7500 0.2500  4 Be 2.49, 4 Br 2.49
12 Ni 0.7500 0.7500 0.7500  4 Br 2.49, 4 Be 2.49
13 Br 0.0000 0.0000 0.5000  8 Ni 2.49
14 Br 0.0000 0.5000 0.0000  8 Ni 2.49
15 Br 0.5000 0.0000 0.0000  8 Ni 2.49
16 Br 0.5000 0.5000 0.5000  8 Ni 2.49

Summary:
**Calculated density**: 7.185 Mg/m³
**ΔE_f (raw)**: 0.6476 eV/atom
**Symmetry**: No. 225
**Offset from the most stable computed form**: 471.5 meV per atom



GaSeO2 | SCAN | single point on PBEsol structure

abc: 5.1749 5.1749 8.4670
angles: 90.00 90.00 90.00
With the nearest neighbours (Å) after each atom.
Element x y z (fractional)
1 Ga 0.0000 0.0000 0.0000  4 O 1.84
2 Ga 0.0000 0.5000 0.2500  4 O 1.84
3 Ga 0.5000 0.0000 0.7500  4 O 1.84
4 Ga 0.5000 0.5000 0.5000  4 O 1.84
5 Se 0.0000 0.0000 0.5000  4 O 2.47
6 Se 0.0000 0.5000 0.7500  4 O 2.47
7 Se 0.5000 0.0000 0.2500  4 O 2.47
8 Se 0.5000 0.5000 0.0000  4 O 2.47
9 O 0.1496 0.7500 0.1250  2 Ga 1.84
10 O 0.2500 0.1496 0.8750  2 Ga 1.84
11 O 0.2500 0.3504 0.3750  2 Ga 1.84
12 O 0.3504 0.7500 0.6250  2 Ga 1.84
13 O 0.6496 0.2500 0.6250  2 Ga 1.84
14 O 0.7500 0.6496 0.3750  2 Ga 1.84
15 O 0.7500 0.8504 0.8750  2 Ga 1.84
16 O 0.8504 0.2500 0.1250  2 Ga 1.84

Summary:
**Calculated density**: 5.293 Mg/m³
**ΔE_f (raw)**: -0.6788 eV/atom
**Symmetry**: No. 122
**Offset from the most stable computed form**: 0.0 meV per atom



MnCrOs2 | SCAN | single point on PBEsol structure

abc: 3.9510 2.6452 9.5286
angles: 90.00 90.00 90.00
With the nearest neighbours (Å) after each atom.
Element x y z (fractional)
1 Mn 0.0000 0.0000 0.0000  2 Cr 2.26
2 Mn 0.0000 0.5000 0.5000  2 Cr 2.26
3 Cr 0.5000 0.0000 0.1158  2 Mn 2.26
4 Cr 0.5000 0.5000 0.6158  2 Mn 2.26
5 Os 0.0000 0.0000 0.7336  3 Mn 2.54-2.59, 4 Cr 2.63, 6 Os 2.65-2.77
6 Os 0.0000 0.5000 0.2336  3 Mn 2.54-2.59, 4 Cr 2.63, 6 Os 2.65-2.77
7 Os 0.5000 0.0000 0.3835  3 Cr 2.55-2.58, 4 Mn 2.62, 6 Os 2.65-2.77
8 Os 0.5000 0.5000 0.8835  3 Cr 2.55-2.58, 4 Mn 2.62, 6 Os 2.65-2.77

Summary:
**Calculated density**: 16.254 Mg/m³
**ΔH_f (0 K)**: 0.039 eV/atom
**Symmetry**: No. 38